Entry 1:
Entry from the Alexandria database: a relaxed ZrAs2Cl crystal (GGA-PBEsol).

Unit cell a=3.3389 b=4.7356 c=5.2571 alpha=100.06 beta=108.52 gamma=90.00
With the nearest neighbours (Å) after each atom.
Element x y z (fractional)
As (0.2675, 0.3133, 0.5351)  2 As 2.50
As (0.7325, 0.6867, 0.4649)  2 As 2.50
Zr (0.0000, 0.5000, 0.0000)  6 As 2.86-2.96, 4 Cl 2.90
Cl (0.5000, 0.0000, 0.0000)  4 Zr 2.90, 2 As 2.97

Output
Mass density: 5.9 g cm⁻³
Raw total energy: -5.91 eV/atom

Entry 2:
Entry from the Alexandria database: a relaxed TcTeP2 crystal (GGA-PBEsol).

Unit cell a=2.9161 b=3.9312 c=7.7929 alpha=78.49 beta=79.22 gamma=68.23
With the nearest neighbours (Å) after each atom.
Element x y z (fractional)
P (0.6559, 0.5414, 0.1468)  3 Tc 2.38-2.41
P (0.3441, 0.4586, 0.8532)  3 Tc 2.38-2.41
Tc (0.0000, 0.0000, 0.0000)  6 P 2.38-2.41
Te (0.5000, 0.5000, 0.5000)  2 P 2.69, 2 Te 2.92

Output
Mass density: 5.9 g cm⁻³
Raw total energy: -6.61 eV/atom

Entry 3:
Entry from the Alexandria database: a relaxed Co2PbSe crystal (GGA-PBEsol).

Unit cell a=3.0528 b=3.0528 c=6.5661 alpha=90.00 beta=90.00 gamma=90.00
With the nearest neighbours (Å) after each atom.
Element x y z (fractional)
Pb (0.5000, 0.5000, 0.0000)  8 Co 2.95, 4 Pb 3.05, 2 Se 3.28
Co (0.0000, 0.0000, 0.6938)  4 Se 2.51, 1 Co 2.55
Co (0.0000, 0.0000, 0.3062)  4 Se 2.51, 1 Co 2.55
Se (0.5000, 0.5000, 0.5000)  8 Co 2.51

Output
Mass density: 11.0 g cm⁻³
Raw total energy: -5.49 eV/atom

Entry 4:
Entry from the Alexandria database: a relaxed KLaW2O8 crystal (GGA-PBEsol).

Unit cell a=7.4953 b=7.4953 c=7.5612 alpha=114.20 beta=114.20 gamma=92.70
With the nearest neighbours (Å) after each atom.
Element x y z (fractional)
K (0.6925, 0.6925, 0.5282)  6 O 2.57-2.87
K (0.3075, 0.3075, 0.4718)  6 O 2.57-2.87
La (0.3027, 0.6973, 0.0000)  8 O 2.44-2.56
La (0.6973, 0.3027, 0.0000)  8 O 2.44-2.56
W (0.2032, 0.2032, 0.9433)  4 O 1.79-2.00
W (0.7968, 0.7968, 0.0567)  4 O 1.79-2.00
W (0.1629, 0.8371, 0.5000)  4 O 1.79-1.92
W (0.8371, 0.1629, 0.5000)  4 O 1.79-1.92
O (0.0932, 0.3434, 0.7375)  2 W 1.92-2.14
O (0.9068, 0.6566, 0.2625)  2 W 1.92-2.14
O (0.6566, 0.9068, 0.2625)  2 W 1.92-2.14
O (0.3434, 0.0932, 0.7375)  2 W 1.92-2.14
O (0.2164, 0.6901, 0.6423)  1 W 1.79
O (0.7836, 0.3099, 0.3577)  1 W 1.79
O (0.3099, 0.7836, 0.3577)  1 W 1.79
O (0.6901, 0.2164, 0.6423)  1 W 1.79
O (0.9563, 0.7027, 0.9354)  1 W 1.79
O (0.0437, 0.2973, 0.0646)  1 W 1.79
O (0.2973, 0.0437, 0.0646)  1 W 1.79
O (0.7027, 0.9563, 0.9354)  1 W 1.79
O (0.9849, 0.9849, 0.6563)  3 W 2.00-2.18
O (0.0151, 0.0151, 0.3437)  3 W 2.00-2.18
O (0.5752, 0.5752, 0.8936)  1 W 1.85
O (0.4248, 0.4248, 0.1064)  1 W 1.85

Output
Mass density: 6.6 g cm⁻³
Raw total energy: -8.89 eV/atom

Entry 5:
Entry from the Alexandria database: a relaxed BaLa3Ru crystal (GGA-PBEsol).

Unit cell a=5.6186 b=5.6186 c=5.6186 alpha=90.00 beta=90.00 gamma=90.00
With the nearest neighbours (Å) after each atom.
Element x y z (fractional)
Ru (0.0000, 0.0000, 0.0000)  6 La 2.81
Ba (0.5000, 0.5000, 0.5000)  12 La 3.97
La (0.0000, 0.5000, 0.0000)  2 Ru 2.81
La (0.0000, 0.0000, 0.5000)  2 Ru 2.81
La (0.5000, 0.0000, 0.0000)  2 Ru 2.81

Output
Mass density: 6.1 g cm⁻³
Raw total energy: -5.72 eV/atom
Formation energy: -50 meV per atom

Entry 6:
Entry from the Alexandria database: a relaxed LaNi5H6 crystal (GGA-PBEsol).

Unit cell a=4.1505 b=5.2862 c=5.2862 alpha=120.00 beta=90.00 gamma=90.00
With the nearest neighbours (Å) after each atom.
Element x y z (fractional)
La (0.1097, 0.0000, 0.0000)  12 H 2.55-2.81
Ni (0.4951, 0.0216, 0.5108)  3 H 1.62-1.64
Ni (0.4951, 0.4892, 0.9784)  3 H 1.62-1.64
Ni (0.4951, 0.4892, 0.5108)  3 H 1.62-1.64
Ni (0.9496, 0.6667, 0.3333)  3 H 1.64
Ni (0.9776, 0.3333, 0.6667)  3 H 1.64
H (0.1065, 0.9945, 0.4973)  3 Ni 1.62-1.64
H (0.1065, 0.5027, 0.0055)  3 Ni 1.62-1.64
H (0.1065, 0.5027, 0.4973)  3 Ni 1.62-1.64
H (0.6509, 0.3703, 0.1852)  3 Ni 1.64-1.84
H (0.6509, 0.8148, 0.6297)  3 Ni 1.64-1.84
H (0.6509, 0.8148, 0.1852)  3 Ni 1.64-1.84

Output
Mass density: 7.2 g cm⁻³
Raw total energy: -4.94 eV/atom

> Which value of raw total energy does entry 4 give?

-8.89 eV/atom